A relaxed structure of TaMoAs2. Source: the Alexandria database, functional PBE-GGA.

Cell: 3.3551 5.0222 8.0278 Å, 90.00 90.00 90.00°
Space group Immm (No. 71)
Symmetry-distinct sites (fractional):
Ta 0.0000 0.0000 0.0000 [2 per cell]
Mo 0.0000 0.0000 0.5000 [2 per cell]
As 0.0000 0.5000 0.2442 [4 per cell]

Summary:
energy relative to the elements	0.19	eV per atom
V	16.9	Å³ per atom
uncorrected energy	-7.810	eV per atom
Fermi-level density of states	0.957	states/eV/atom
total magnetization	0.00	μB per formula unit



A relaxed structure of TaMoAs2. Source: the Alexandria database, functional PBE-GGA.

Cell: 3.4835 5.0475 7.6981 Å, 90.00 90.00 90.00°
Space group Cmmm (No. 65)
Symmetry-distinct sites (fractional):
Ta 0.0000 0.0000 0.0000 [2 per cell]
Mo 0.0000 0.0000 0.5000 [2 per cell]
As 0.0000 0.5000 0.2554 [4 per cell]

Summary:
energy relative to the elements	0.19	eV per atom
V	16.9	Å³ per atom
uncorrected energy	-7.803	eV per atom
Fermi-level density of states	0.918	states/eV/atom
total magnetization	0.00	μB per formula unit



A relaxed structure of TaMoAs2. Source: the Alexandria database, functional PBE-GGA.

Cell: 3.1142 3.9786 5.5267 Å, 90.00 96.52 90.00°
Space group P2/m (No. 10)
Symmetry-distinct sites (fractional):
Ta 0.0000 0.0000 0.0000 [1 per cell]
Mo 0.5000 0.0000 0.5000 [1 per cell]
As 0.3249 0.5000 0.7521 [2 per cell]

Summary:
energy relative to the elements	0.16	eV per atom
V	17.0	Å³ per atom
uncorrected energy	-7.834	eV per atom
Fermi-level density of states	0.838	states/eV/atom
total magnetization	0.00	μB per formula unit



A relaxed structure of TaMoAs2. Source: the Alexandria database, functional PBE-GGA.

Cell: 3.2065 3.2065 24.3195 Å, 90.00 90.00 120.00°
Space group R3m (No. 160, hexagonal axes)
Symmetry-distinct sites (fractional):
Ta 0.0000 0.0000 0.0000 [3 per cell]
Mo 0.0000 0.0000 0.2498 [3 per cell]
As 0.0000 0.0000 0.5092 [3 per cell]
As 0.0000 0.0000 0.7460 [3 per cell]

Summary:
energy relative to the elements	-0.02	eV per atom
V	18.0	Å³ per atom
uncorrected energy	-8.011	eV per atom
Fermi-level density of states	0.685	states/eV/atom
total magnetization	0.00	μB per formula unit